(1)
LiNb: optimized geometry, PBE.

```
data_LiNb
_cell_length_a 4.396
_cell_length_b 4.396
_cell_length_c 3.179
_cell_angle_alpha 90.00
_cell_angle_beta 90.00
_cell_angle_gamma 90.00
_space_group_name_H-M_alt 'P 1'
_space_group_IT_number 1
_space_group_name_Hall 'P 1'
loop_
_atom_site_label
_atom_site_fract_x
_atom_site_fract_y
_atom_site_fract_z
Nb1 0.500 0.000 0.989
Nb2 0.000 0.500 0.011
Li1 0.500 0.500 0.500
Li2 0.000 0.000 0.500
```

Calculated values
Energy above the lowest structure with this stoichiometry   280.2 meV/atom
Total magnetic moment   0.00 μB per formula unit
Density of states at the Fermi level   0.478 states/eV per atom
VASP energy   -5.3862 eV/atom

***

(2)
LiNb: optimized geometry, PBE.

```
data_LiNb
_cell_length_a 14.528
_cell_length_b 2.631
_cell_length_c 5.056
_cell_angle_alpha 90.00
_cell_angle_beta 90.00
_cell_angle_gamma 90.00
_space_group_name_H-M_alt 'P 1'
_space_group_IT_number 1
_space_group_name_Hall 'P 1'
loop_
_atom_site_label
_atom_site_fract_x
_atom_site_fract_y
_atom_site_fract_z
Li1 0.636 0.419 0.500
Li2 0.500 0.883 0.500
Li3 0.364 0.419 0.500
Li4 0.136 0.581 0.000
Li5 0.000 0.117 0.000
Li6 0.864 0.581 0.000
Nb1 0.813 0.176 0.500
Nb2 0.687 0.824 0.000
Nb3 0.187 0.176 0.500
Nb4 0.000 0.663 0.500
Nb5 0.500 0.337 0.000
Nb6 0.313 0.824 0.000
```

Calculated values
Energy above the lowest structure with this stoichiometry   32.4 meV/atom
Total magnetic moment   0.00 μB per formula unit
Density of states at the Fermi level   0.638 states/eV per atom
VASP energy   -5.6339 eV/atom

***

(3)
LiNd2NbO6: optimized geometry, PBE.

```
data_LiNd2NbO6
_cell_length_a 5.551
_cell_length_b 5.873
_cell_length_c 7.933
_cell_angle_alpha 90.00
_cell_angle_beta 88.96
_cell_angle_gamma 90.00
_space_group_name_H-M_alt 'P 1'
_space_group_IT_number 1
_space_group_name_Hall 'P 1'
loop_
_atom_site_label
_atom_site_fract_x
_atom_site_fract_y
_atom_site_fract_z
O1 0.388 0.958 0.741
O2 0.795 0.816 0.552
O3 0.680 0.289 0.562
O4 0.295 0.684 0.052
O5 0.820 0.789 0.938
O6 0.705 0.316 0.948
O7 0.112 0.458 0.759
O8 0.612 0.042 0.259
O9 0.180 0.211 0.062
O10 0.888 0.542 0.241
O11 0.320 0.711 0.438
O12 0.205 0.184 0.448
Li1 0.000 0.500 0.500
Li2 0.500 0.000 0.000
Nd1 0.982 0.067 0.747
Nd2 0.018 0.933 0.253
Nd3 0.518 0.567 0.753
Nd4 0.482 0.433 0.247
Nb1 0.000 0.500 0.000
Nb2 0.500 0.000 0.500
```

Calculated values
Total magnetic moment   0.00 μB per formula unit
Uncorrected formation energy   -2963 meV/atom
Density of states at the Fermi level   0.000 states/eV per atom
VASP energy   -8.0903 eV/atom

***

(4)
LiNbNi4: optimized geometry, PBE.

```
data_LiNbNi4
_cell_length_a 3.890
_cell_length_b 6.503
_cell_length_c 7.378
_cell_angle_alpha 90.00
_cell_angle_beta 90.00
_cell_angle_gamma 127.08
_space_group_name_H-M_alt 'P 1'
_space_group_IT_number 1
_space_group_name_Hall 'P 1'
loop_
_atom_site_label
_atom_site_fract_x
_atom_site_fract_y
_atom_site_fract_z
Ni1 0.238 0.488 0.412
Ni2 0.238 0.988 0.912
Ni3 0.238 0.988 0.588
Ni4 0.762 0.512 0.588
Ni5 0.762 0.012 0.412
Ni6 0.238 0.488 0.088
Ni7 0.762 0.512 0.912
Ni8 0.762 0.012 0.088
Li1 0.500 0.250 0.250
Li2 0.500 0.750 0.750
Nb1 0.000 0.250 0.750
Nb2 0.000 0.750 0.250
```

Calculated values
Energy above the lowest structure with this stoichiometry   175.0 meV/atom
Total magnetic moment   0.00 μB per formula unit
Density of states at the Fermi level   1.340 states/eV per atom
VASP energy   -5.8497 eV/atom

***

(5)
LiNbNi4: optimized geometry, PBE.

```
data_LiNbNi4
_cell_length_a 4.722
_cell_length_b 4.722
_cell_length_c 4.722
_cell_angle_alpha 60.00
_cell_angle_beta 60.00
_cell_angle_gamma 60.00
_space_group_name_H-M_alt 'P 1'
_space_group_IT_number 1
_space_group_name_Hall 'P 1'
loop_
_atom_site_label
_atom_site_fract_x
_atom_site_fract_y
_atom_site_fract_z
Ni1 0.624 0.624 0.127
Ni2 0.624 0.624 0.624
Ni3 0.127 0.624 0.624
Ni4 0.624 0.127 0.624
Li1 0.250 0.250 0.250
Nb1 0.000 0.000 0.000
```

Calculated values
Energy above the lowest structure with this stoichiometry   0.0 meV/atom
Total magnetic moment   0.00 μB per formula unit
Density of states at the Fermi level   0.428 states/eV per atom
VASP energy   -6.0247 eV/atom

***

(6)
LiNb2Ni2: optimized geometry, PBE.

```
data_LiNb2Ni2
_cell_length_a 7.457
_cell_length_b 7.457
_cell_length_c 2.740
_cell_angle_alpha 90.00
_cell_angle_beta 90.00
_cell_angle_gamma 90.00
_space_group_name_H-M_alt 'P 1'
_space_group_IT_number 1
_space_group_name_Hall 'P 1'
loop_
_atom_site_label
_atom_site_fract_x
_atom_site_fract_y
_atom_site_fract_z
Nb1 0.833 0.333 0.500
Nb2 0.333 0.167 0.500
Nb3 0.667 0.833 0.500
Nb4 0.167 0.667 0.500
Li1 0.500 0.500 0.000
Li2 0.000 0.000 0.000
Ni1 0.874 0.626 0.000
Ni2 0.626 0.126 0.000
Ni3 0.374 0.874 0.000
Ni4 0.126 0.374 0.000
```

Calculated values
Energy above the lowest structure with this stoichiometry   0.0 meV/atom
Total magnetic moment   0.00 μB per formula unit
Density of states at the Fermi level   0.691 states/eV per atom
VASP energy   -6.7498 eV/atom

***

(7)
LiNb2Ni2: optimized geometry, PBE.

```
data_LiNb2Ni2
_cell_length_a 7.583
_cell_length_b 7.583
_cell_length_c 2.684
_cell_angle_alpha 90.00
_cell_angle_beta 90.00
_cell_angle_gamma 90.00
_space_group_name_H-M_alt 'P 1'
_space_group_IT_number 1
_space_group_name_Hall 'P 1'
loop_
_atom_site_label
_atom_site_fract_x
_atom_site_fract_y
_atom_site_fract_z
Nb1 0.161 0.339 0.000
Nb2 0.339 0.839 0.000
Nb3 0.661 0.161 0.000
Nb4 0.839 0.661 0.000
Ni1 0.868 0.368 0.500
Ni2 0.632 0.868 0.500
Ni3 0.368 0.132 0.500
Ni4 0.132 0.632 0.500
Li1 0.000 0.000 0.000
Li2 0.500 0.500 0.000
```

Calculated values
Energy above the lowest structure with this stoichiometry   69.6 meV/atom
Total magnetic moment   0.00 μB per formula unit
Density of states at the Fermi level   0.765 states/eV per atom
VASP energy   -6.6802 eV/atom

***

(8)
Li2Nb2Ni15: optimized geometry, PBE.

```
data_Li2Nb2Ni15
_cell_length_a 6.170
_cell_length_b 6.170
_cell_length_c 6.170
_cell_angle_alpha 82.25
_cell_angle_beta 82.25
_cell_angle_gamma 82.25
_space_group_name_H-M_alt 'P 1'
_space_group_IT_number 1
_space_group_name_Hall 'P 1'
loop_
_atom_site_label
_atom_site_fract_x
_atom_site_fract_y
_atom_site_fract_z
Ni1 0.000 0.000 0.500
Ni2 0.662 0.662 0.172
Ni3 0.668 0.332 0.000
Ni4 0.000 0.500 0.000
Ni5 0.662 0.172 0.662
Ni6 0.828 0.338 0.338
Ni7 0.338 0.828 0.338
Ni8 0.338 0.338 0.828
Ni9 0.332 0.668 0.000
Ni10 0.500 0.000 0.000
Ni11 0.668 0.000 0.332
Ni12 0.000 0.668 0.332
Ni13 0.000 0.332 0.668
Ni14 0.172 0.662 0.662
Ni15 0.332 0.000 0.668
Li1 0.904 0.904 0.904
Li2 0.096 0.096 0.096
Nb1 0.639 0.639 0.639
Nb2 0.361 0.361 0.361
```

Calculated values
Total magnetic moment   3.07 μB per formula unit
Density of states at the Fermi level   1.250 states/eV per atom
VASP energy   -5.8674 eV/atom

***

(9)
Li3NbNi: optimized geometry, PBE.

```
data_Li3NbNi
_cell_length_a 4.213
_cell_length_b 4.213
_cell_length_c 4.213
_cell_angle_alpha 90.00
_cell_angle_beta 90.00
_cell_angle_gamma 90.00
_space_group_name_H-M_alt 'P 1'
_space_group_IT_number 1
_space_group_name_Hall 'P 1'
loop_
_atom_site_label
_atom_site_fract_x
_atom_site_fract_y
_atom_site_fract_z
Li1 0.000 0.500 0.000
Li2 0.500 0.000 0.000
Li3 0.000 0.000 0.500
Ni1 0.000 0.000 0.000
Nb1 0.500 0.500 0.500
```

Calculated values
Energy above the lowest structure with this stoichiometry   0.0 meV/atom
Total magnetic moment   1.12 μB per formula unit
Density of states at the Fermi level   0.943 states/eV per atom
VASP energy   -3.4730 eV/atom

***

(10)
LiNb2Ni: optimized geometry, PBE.

```
data_LiNb2Ni
_cell_length_a 4.389
_cell_length_b 4.389
_cell_length_c 4.389
_cell_angle_alpha 60.00
_cell_angle_beta 60.00
_cell_angle_gamma 60.00
_space_group_name_H-M_alt 'P 1'
_space_group_IT_number 1
_space_group_name_Hall 'P 1'
loop_
_atom_site_label
_atom_site_fract_x
_atom_site_fract_y
_atom_site_fract_z
Ni1 0.500 0.500 0.500
Nb1 0.750 0.750 0.750
Nb2 0.250 0.250 0.250
Li1 0.000 0.000 0.000
```

Calculated values
Energy above the lowest structure with this stoichiometry   0.0 meV/atom
Total magnetic moment   0.88 μB per formula unit
Density of states at the Fermi level   1.046 states/eV per atom
VASP energy   -6.6961 eV/atom

***

(11)
LiNb2Ni9: optimized geometry, PBE.

```
data_LiNb2Ni9
_cell_length_a 3.656
_cell_length_b 3.656
_cell_length_c 10.741
_cell_angle_alpha 90.00
_cell_angle_beta 90.00
_cell_angle_gamma 90.00
_space_group_name_H-M_alt 'P 1'
_space_group_IT_number 1
_space_group_name_Hall 'P 1'
loop_
_atom_site_label
_atom_site_fract_x
_atom_site_fract_y
_atom_site_fract_z
Li1 0.000 0.000 0.000
Ni1 0.500 0.500 0.000
Ni2 0.000 0.500 0.160
Ni3 0.000 0.500 0.840
Ni4 0.500 0.000 0.840
Ni5 0.000 0.500 0.500
Ni6 0.500 0.500 0.332
Ni7 0.500 0.500 0.668
Ni8 0.500 0.000 0.500
Ni9 0.500 0.000 0.160
Nb1 0.000 0.000 0.679
Nb2 0.000 0.000 0.321
```

Calculated values
Total magnetic moment   0.05 μB per formula unit
Density of states at the Fermi level   0.599 states/eV per atom
VASP energy   -6.3807 eV/atom

***

(12)
Li2NbNi6: optimized geometry, PBE.

```
data_Li2NbNi6
_cell_length_a 4.571
_cell_length_b 7.174
_cell_length_c 7.174
_cell_angle_alpha 106.83
_cell_angle_beta 99.46
_cell_angle_gamma 99.46
_space_group_name_H-M_alt 'P 1'
_space_group_IT_number 1
_space_group_name_Hall 'P 1'
loop_
_atom_site_label
_atom_site_fract_x
_atom_site_fract_y
_atom_site_fract_z
Li1 0.350 0.653 0.646
Li2 0.850 0.646 0.653
Li3 0.650 0.347 0.354
Li4 0.150 0.354 0.347
Ni1 0.804 0.018 0.274
Ni2 0.648 0.898 0.541
Ni3 0.043 0.762 0.373
Ni4 0.196 0.982 0.726
Ni5 0.957 0.238 0.627
Ni6 0.457 0.627 0.238
Ni7 0.852 0.459 0.102
Ni8 0.352 0.102 0.459
Ni9 0.543 0.373 0.762
Ni10 0.148 0.541 0.898
Ni11 0.696 0.726 0.982
Ni12 0.304 0.274 0.018
Nb1 0.750 0.090 0.910
Nb2 0.250 0.910 0.090
```

Calculated values
Total magnetic moment   0.00 μB per formula unit
Density of states at the Fermi level   1.030 states/eV per atom
VASP energy   -5.4070 eV/atom